Here is a relaxed structure of Pm3MgHg from Alexandria. Energies are from PBE.

a = 9.232 Å, b = 6.944 Å, c = 9.664 Å
α = 90.00°, β = 105.16°, γ = 90.00°
Positions (direct):
1 Pm 0.066 0.250 0.392
2 Pm 0.066 0.250 0.892
3 Pm 0.298 0.503 0.200
4 Pm 0.298 0.997 0.700
5 Pm 0.299 0.503 0.699
6 Pm 0.299 0.997 0.199
7 Pm 0.701 0.003 0.801
8 Pm 0.701 0.497 0.301
9 Pm 0.702 0.003 0.300
10 Pm 0.702 0.497 0.800
11 Pm 0.934 0.750 0.108
12 Pm 0.934 0.750 0.608
13 Mg 0.489 0.250 0.497
14 Mg 0.489 0.250 0.997
15 Mg 0.511 0.750 0.003
16 Mg 0.511 0.750 0.503
17 Hg 0.148 0.750 0.412
18 Hg 0.148 0.750 0.912
19 Hg 0.852 0.250 0.088
20 Hg 0.852 0.250 0.588

Results
Symmetry   No. 14
Excess energy over the best structure of this formula in the dataset   2.6 kJ per mole of atoms
Size of the total moment   0.0 μB/cell
N(E_F)   1.059 states/eV per atom
Calculated total energy   -3.41 eV per atom
ΔE_f   -0.18 eV/atom